This record from Alexandria describes a relaxed structure of OsPb2Cl. The functional is GGA-PBE.

Lattice parameters (Å, degrees): 6.520 6.520 7.975 65.87 65.87 90.00
Positions (direct):
Pb1 0.687 0.125 0.250
Pb2 0.063 0.625 0.250
Pb3 0.375 0.313 0.750
Pb4 0.875 0.937 0.750
Os1 0.000 0.000 0.000
Os2 0.750 0.250 0.500
Cl1 0.500 0.500 0.000
Cl2 0.250 0.750 0.500

Summary:
Distance to the lowest polymorph of the same formula in meV/atom: 291
Uncorrected formation energy in kJ/mol of atoms: 56.5